No. 1
First-principles (GGA-PBEsol) data for an optimized crystal structure of Sc2CoCu, as listed in Alexandria via LeMat-Bulk.

Results
DOS at the Fermi energy, states/eV per atom: 0.95
Excess energy over the best structure of this formula in the dataset, meV/atom: 211.1
E, eV per atom: -6.410
Spin magnetization, μB per formula unit: 0.00
Density, kg/m³: 5707
DFT formation energy, kcal/mol of atoms: -2.08

Cell: 5.0915 5.0915 5.0915 Å, 136.47 136.47 63.25°
With the nearest neighbours (Å) after each atom.
Fractional coordinates of all 4 atoms:
Sc  0.0000  0.0000  0.0000  4 Co 2.67, 4 Cu 2.87, 4 Sc 2.87
Sc  0.7500  0.2500  0.5000  4 Cu 2.67, 4 Co 2.87, 4 Sc 2.87
Co  0.5000  0.5000  0.0000  8 Sc 2.67-2.87, 4 Cu 2.87
Cu  0.2500  0.7500  0.5000  8 Sc 2.67-2.87, 4 Co 2.87

---

No. 2
First-principles (GGA-PBEsol) data for an optimized crystal structure of Sc2CoCu, as listed in Alexandria via LeMat-Bulk.

Results
DOS at the Fermi energy, states/eV per atom: 0.77
Excess energy over the best structure of this formula in the dataset, meV/atom: 154.1
E, eV per atom: -6.467
Spin magnetization, μB per formula unit: 0.00
Density, kg/m³: 5619
DFT formation energy, kcal/mol of atoms: -3.39

Cell: 5.0899 5.0899 4.5169 Å, 105.02 105.02 33.86°
With the nearest neighbours (Å) after each atom.
Fractional coordinates of all 4 atoms:
Sc  0.0000  0.0000  0.0000  3 Cu 2.66-2.87, 4 Co 2.69-2.75, 3 Sc 2.95-2.96
Sc  0.2083  0.2083  0.6311  4 Cu 2.68-2.81, 3 Co 2.72-2.75, 3 Sc 2.95-2.96
Co  0.4651  0.4651  0.4882  2 Cu 2.56, 7 Sc 2.69-2.75
Cu  0.7615  0.7615  0.1793  2 Co 2.56, 7 Sc 2.66-2.87

---

No. 3
First-principles (GGA-PBEsol) data for an optimized crystal structure of ScTl2CoCu, as listed in Alexandria via LeMat-Bulk.

Results
DOS at the Fermi energy, states/eV per atom: 0.96
E, eV per atom: -4.359
Spin magnetization, μB per formula unit: 1.31
Density, kg/m³: 9150
DFT formation energy, kcal/mol of atoms: 9.87

Cell: 4.8205 4.8205 4.5001 Å, 90.00 90.00 90.00°
With the nearest neighbours (Å) after each atom.
Fractional coordinates of all 5 atoms:
Sc  0.0000  0.0000  0.0000  8 Tl 3.30, 4 Cu 3.41
Tl  0.0000  0.5000  0.5000  2 Co 2.41
Tl  0.5000  0.0000  0.5000  2 Co 2.41
Co  0.5000  0.5000  0.5000  2 Cu 2.25, 4 Tl 2.41
Cu  0.5000  0.5000  0.0000  2 Co 2.25

---

No. 4
First-principles (GGA-PBEsol) data for an optimized crystal structure of CoCu2Se, as listed in Alexandria via LeMat-Bulk.

Results
DOS at the Fermi energy, states/eV per atom: 1.08
ΔE_f (raw), meV/atom: 278.4
E, eV per atom: -4.785
Spin magnetization, μB per formula unit: 0.69
Density, kg/m³: 8655

Cell: 2.8031 4.4458 4.0798 Å, 90.00 90.11 90.00°
With the nearest neighbours (Å) after each atom.
Fractional coordinates of all 4 atoms:
Co  0.0000  0.0000  0.0000  4 Se 2.47-2.48, 4 Cu 2.54
Cu  0.2672  0.5000  0.7590  4 Cu 2.36-2.59, 2 Co 2.54, 2 Se 2.55
Cu  0.7328  0.5000  0.2410  4 Cu 2.36-2.59, 2 Co 2.54, 2 Se 2.55
Se  0.5000  0.0000  0.5000  4 Co 2.47-2.48, 4 Cu 2.55